<1>
Nd2NiPd: optimized geometry, PBE.

## Properties
Magnetic moment ... 0.0 Bohr magnetons per cell
Crystal system ... cubic

```
Nd2NiPd
1.0
5.051 0.000 0.000
2.526 4.375 0.000
2.526 1.458 4.124
Ni Pd Nd
1 1 2
Direct
0.500 0.500 0.500 Ni
0.000 0.000 0.000 Pd
0.750 0.750 0.750 Nd
0.250 0.250 0.250 Nd
```

=====

<2>
Nd2NiPd: optimized geometry, PBE.

## Properties
Magnetic moment ... 0.0 Bohr magnetons per cell
Crystal system ... orthorhombic

```
Nd2NiPd
1.0
4.486 0.000 0.000
0.000 3.903 0.000
0.000 -1.952 5.359
Nd Pd Ni
2 1 1
Direct
0.000 0.986 0.972 Nd
0.500 0.262 0.523 Nd
0.500 0.546 0.093 Pd
0.000 0.705 0.410 Ni
```

=====

Most stable: <2>. Least stable: <1>.

=====

<1>
Nd2Ni2Pd: optimized geometry, PBE.

## Properties
Magnetic moment ... 0.0 Bohr magnetons per cell
Crystal system ... orthorhombic

```
Nd2Ni2Pd
1.0
3.788 0.000 0.000
0.000 3.731 -1.061
0.000 0.026 7.184
Nd Ni Pd
2 2 1
Direct
0.500 0.373 0.746 Nd
0.500 0.627 0.254 Nd
0.000 0.801 0.602 Ni
0.000 0.199 0.398 Ni
0.000 0.000 0.000 Pd
```

=====

<2>
Nd2Ni2Pd: optimized geometry, PBE.

## Properties
Magnetic moment ... 0.0 Bohr magnetons per cell
Crystal system ... orthorhombic

```
Nd2Ni2Pd
1.0
-2.787 3.458 -0.484
-4.069 -3.076 1.460
4.058 0.878 3.522
Ni Nd Pd
2 2 1
Direct
0.500 0.729 0.000 Ni
0.500 0.271 0.000 Ni
0.202 0.702 0.404 Nd
0.798 0.298 0.596 Nd
0.000 0.000 0.000 Pd
```

=====

Most stable: <1>. Least stable: <2>.

=====

<1>
Nd12Ni6Pd: optimized geometry, PBE.

## Properties
Magnetic moment ... 0.0 Bohr magnetons per cell
Crystal system ... cubic

```
Nd12Ni6Pd
1.0
1.023 -3.477 -7.816
-3.530 -5.813 5.289
-5.162 6.875 -0.568
Nd Ni Pd
12 6 1
Direct
0.488 0.185 0.302 Nd
0.815 0.698 0.512 Nd
0.512 0.815 0.698 Nd
0.185 0.698 0.883 Nd
0.302 0.117 0.815 Nd
0.117 0.815 0.302 Nd
0.185 0.302 0.488 Nd
0.883 0.185 0.698 Nd
0.302 0.488 0.185 Nd
0.698 0.883 0.185 Nd
0.698 0.512 0.815 Nd
0.815 0.302 0.117 Nd
0.500 0.123 0.623 Ni
0.877 0.377 0.500 Ni
0.377 0.500 0.877 Ni
0.623 0.500 0.123 Ni
0.123 0.623 0.500 Ni
0.500 0.877 0.377 Ni
0.000 0.000 0.000 Pd
```

=====

<2>
Nd12Ni6Pd: optimized geometry, PBE.

## Properties
Magnetic moment ... 0.0 Bohr magnetons per cell
Crystal system ... trigonal

```
Nd12Ni6Pd
1.0
8.269 0.013 0.016
-1.241 8.176 0.016
-1.241 -1.445 8.047
Nd Ni Pd
12 6 1
Direct
0.589 0.429 0.817 Nd
0.183 0.411 0.571 Nd
0.328 0.093 0.938 Nd
0.429 0.817 0.589 Nd
0.907 0.062 0.672 Nd
0.571 0.183 0.411 Nd
0.672 0.907 0.062 Nd
0.411 0.571 0.183 Nd
0.093 0.938 0.328 Nd
0.062 0.672 0.907 Nd
0.817 0.589 0.429 Nd
0.938 0.328 0.093 Nd
0.610 0.309 0.128 Ni
0.691 0.872 0.390 Ni
0.309 0.128 0.610 Ni
0.390 0.691 0.872 Ni
0.872 0.390 0.691 Ni
0.128 0.610 0.309 Ni
0.000 0.000 0.000 Pd
```

=====

Most stable: <1>. Least stable: <2>.

=====

<1>
PmNdNiPd: optimized geometry, PBE.

## Properties
Magnetic moment ... 0.0 Bohr magnetons per cell
Crystal system ... orthorhombic

```
PmNdNiPd
1.0
-1.176 2.666 -2.581
-1.181 -3.264 -2.833
-4.294 -1.420 3.425
Nd Ni Pm Pd
1 1 1 1
Direct
0.860 0.500 0.721 Nd
0.581 0.500 0.161 Ni
0.137 0.000 0.274 Pm
0.422 0.000 0.844 Pd
```

=====

<2>
PmNdNiPd: optimized geometry, PBE.

## Properties
Magnetic moment ... 0.0 Bohr magnetons per cell
Crystal system ... cubic

```
PmNdNiPd
1.0
-4.720 0.619 -1.637
-2.220 -3.618 -2.705
-3.736 -2.710 2.009
Ni Pm Nd Pd
1 1 1 1
Direct
0.250 0.250 0.250 Ni
0.500 0.500 0.500 Pm
0.000 0.000 0.000 Nd
0.750 0.750 0.750 Pd
```

=====

Most stable: <1>. Least stable: <2>.

=====

<1>
NdThNiPd: optimized geometry, PBE.

## Properties
Magnetic moment ... 0.0 Bohr magnetons per cell
Crystal system ... orthorhombic

```
NdThNiPd
1.0
3.815 0.000 0.000
0.000 4.328 0.000
-1.908 0.000 5.679
Th Nd Ni Pd
1 1 1 1
Direct
0.129 0.000 0.257 Th
0.856 0.500 0.712 Nd
0.594 0.500 0.189 Ni
0.421 0.000 0.841 Pd
```

=====

<2>
NdThNiPd: optimized geometry, PBE.

## Properties
Magnetic moment ... 0.0 Bohr magnetons per cell
Crystal system ... cubic

```
NdThNiPd
1.0
-4.706 1.315 1.276
-2.170 -2.031 4.083
-0.806 2.831 4.104
Th Pd Nd Ni
1 1 1 1
Direct
0.000 0.000 0.000 Th
0.250 0.250 0.250 Pd
0.500 0.500 0.500 Nd
0.750 0.750 0.750 Ni
```

=====

Most stable: <1>. Least stable: <2>.

=====

<1>
Pm2NdNi: optimized geometry, PBE.

## Properties
Magnetic moment ... 0.0 Bohr magnetons per cell
Crystal system ... trigonal

```
Pm2NdNi
1.0
-0.972 -1.656 3.370
2.506 0.011 2.961
-2.992 7.482 5.046
Pm Nd Ni
2 1 1
Direct
0.274 0.274 0.178 Pm
0.059 0.059 0.823 Pm
0.501 0.501 0.497 Nd
0.666 0.666 0.002 Ni
```

=====

<2>
Pm2NdNi: optimized geometry, PBE.

## Properties
Magnetic moment ... 0.0 Bohr magnetons per cell
Crystal system ... tetragonal

```
Pm2NdNi
1.0
-0.169 3.241 -1.403
-1.672 -1.311 -2.826
-7.916 1.345 4.060
Pm Nd Ni
2 1 1
Direct
0.000 0.000 0.183 Pm
0.000 0.000 0.817 Pm
0.500 0.500 0.500 Nd
0.500 0.500 0.000 Ni
```

=====

<3>
Pm2NdNi: optimized geometry, PBE.

## Properties
Magnetic moment ... 0.0 Bohr magnetons per cell
Crystal system ... orthorhombic

```
Pm2NdNi
1.0
-2.639 2.314 -1.380
1.667 -3.958 -4.673
-7.053 -6.341 2.854
Pm Ni Nd
4 2 2
Direct
0.138 0.275 0.069 Pm
0.862 0.725 0.569 Pm
0.138 0.275 0.431 Pm
0.862 0.725 0.931 Pm
0.271 0.541 0.750 Ni
0.729 0.459 0.250 Ni
0.415 0.830 0.250 Nd
0.585 0.170 0.750 Nd
```

=====

Most stable: <3>. Least stable: <1>.